(1)
DFT (PBEsol) results for a geometry-optimized Na2Ti4O9 structure.

Cell: 8.7889 10.5762 12.3327 Å, 78.54 69.37 90.00°
With the nearest neighbours (Å) after each atom.
Space group P1 (No. 1)
Inequivalent atoms, fractional coordinates:
Na: 0.0000 0.0000 0.0000 [1 per cell]  6 O 2.41-2.51
Na: 0.0544 0.2983 0.8672 [1 per cell]  6 O 2.29-2.55
Na: 0.1271 0.7020 0.4377 [1 per cell]  6 O 2.40-2.65
Na: 0.2753 0.1917 0.4487 [1 per cell]  6 O 2.40-2.49
Na: 0.3303 0.9977 0.0022 [1 per cell]  6 O 2.40-2.50
Na: 0.4409 0.3060 0.8756 [1 per cell]  3 O 2.22-2.38
Na: 0.4950 0.8958 0.5764 [1 per cell]  4 O 2.23-2.50
Na: 0.6076 0.2013 0.4525 [1 per cell]  6 O 2.40-2.52
Na: 0.6661 0.0110 0.0004 [1 per cell]  6 O 2.41-2.52
Na: 0.8105 0.4976 0.0135 [1 per cell]  6 O 2.40-2.64
Na: 0.8828 0.8998 0.5832 [1 per cell]  5 O 2.29-2.51
Na: 0.9401 0.2008 0.4491 [1 per cell]  6 O 2.40-2.54
Ti: 0.0307 0.4051 0.5988 [1 per cell]  5 O 1.80-1.98
Ti: 0.0804 0.2268 0.1659 [1 per cell]  4 O 1.86-1.98
Ti: 0.0864 0.7181 0.1592 [1 per cell]  6 O 1.90-2.02
Ti: 0.1197 0.0912 0.7166 [1 per cell]  3 O 1.80-1.97
Ti: 0.1368 0.6078 0.7188 [1 per cell]  6 O 1.90-2.03
Ti: 0.1891 0.4751 0.2858 [1 per cell]  6 O 1.93-2.02
Ti: 0.1938 0.9804 0.2781 [1 per cell]  6 O 1.88-2.05
Ti: 0.2358 0.7827 0.8541 [1 per cell]  5 O 1.81-1.99
Ti: 0.3619 0.4109 0.6055 [1 per cell]  5 O 1.85-2.01
Ti: 0.4171 0.2280 0.1671 [1 per cell]  4 O 1.85-1.97
Ti: 0.4222 0.7181 0.1525 [1 per cell]  6 O 1.87-2.09
Ti: 0.4472 0.1010 0.7292 [1 per cell]  2 O 1.82-1.85
Ti: 0.4696 0.6013 0.7247 [1 per cell]  6 O 1.94-1.98
Ti: 0.5155 0.4822 0.2990 [1 per cell]  5 O 1.87-2.00
Ti: 0.5206 0.9721 0.2840 [1 per cell]  4 O 1.85-1.97
Ti: 0.5724 0.7896 0.8461 [1 per cell]  5 O 1.84-2.02
Ti: 0.6987 0.4182 0.5968 [1 per cell]  5 O 1.81-1.99
Ti: 0.7435 0.2199 0.1737 [1 per cell]  6 O 1.88-2.05
Ti: 0.7491 0.7253 0.1642 [1 per cell]  6 O 1.93-2.03
Ti: 0.7800 0.1083 0.7303 [1 per cell]  4 O 1.83-2.04
Ti: 0.8012 0.5910 0.7332 [1 per cell]  6 O 1.89-2.07
Ti: 0.8510 0.4824 0.2920 [1 per cell]  6 O 1.90-2.03
Ti: 0.8571 0.9734 0.2849 [1 per cell]  4 O 1.86-1.98
Ti: 0.9044 0.7944 0.8515 [1 per cell]  5 O 1.80-1.98
O: 0.0098 0.5908 0.3171 [1 per cell]  3 Ti 1.95-2.02
O: 0.0231 0.0855 0.6107 [1 per cell]  1 Ti 1.80
O: 0.0428 0.3791 0.2404 [1 per cell]  3 Ti 1.93-1.99
O: 0.0554 0.6611 0.8742 [1 per cell]  3 Ti 1.96-1.99
O: 0.0858 0.0460 0.1566 [1 per cell]  3 Ti 1.94-2.10
O: 0.1048 0.9053 0.7887 [1 per cell]  3 Ti 1.94-1.97
O: 0.1067 0.3810 0.4490 [1 per cell]  2 Ti 1.80-1.93
O: 0.1633 0.8174 0.0013 [1 per cell]  2 Ti 1.81-1.90
O: 0.1656 0.2923 0.6631 [1 per cell]  3 Ti 1.94-2.09
O: 0.1848 0.1564 0.2933 [1 per cell]  3 Ti 1.91-2.11
O: 0.2040 0.5385 0.5760 [1 per cell]  3 Ti 1.94-2.01
O: 0.2264 0.8179 0.2109 [1 per cell]  3 Ti 1.96-2.03
O: 0.2497 0.1192 0.8373 [1 per cell]  1 Ti 1.82
O: 0.2654 0.6077 0.1316 [1 per cell]  3 Ti 1.92-2.02
O: 0.2812 0.4751 0.7655 [1 per cell]  3 Ti 1.98-2.10
O: 0.2965 0.2727 0.0686 [1 per cell]  2 Ti 1.86-1.87
O: 0.3062 0.9209 0.3800 [1 per cell]  2 Ti 1.85-1.88
O: 0.3211 0.7236 0.6845 [1 per cell]  2 Ti 1.90-1.96
O: 0.3371 0.5905 0.3174 [1 per cell]  3 Ti 1.92-2.09
O: 0.3589 0.0861 0.6157 [1 per cell]  2 Ti 1.85-2.04
O: 0.3797 0.3792 0.2418 [1 per cell]  3 Ti 1.93-2.00
O: 0.3934 0.6608 0.8746 [1 per cell]  3 Ti 1.94-1.97
O: 0.4203 0.0465 0.1564 [1 per cell]  3 Ti 1.95-2.09
O: 0.4336 0.9058 0.7882 [1 per cell]  3 Ti 1.94-2.04
O: 0.4382 0.3819 0.4531 [1 per cell]  2 Ti 1.85-1.87
O: 0.4987 0.8184 0.9982 [1 per cell]  2 Ti 1.84-1.87
O: 0.5013 0.2951 0.6637 [1 per cell]  3 Ti 1.95-2.04
O: 0.5177 0.1537 0.2949 [1 per cell]  3 Ti 1.95-2.09
O: 0.5419 0.5398 0.5758 [1 per cell]  3 Ti 1.93-1.97
O: 0.5580 0.8210 0.2093 [1 per cell]  3 Ti 1.93-2.00
O: 0.5770 0.1155 0.8389 [1 per cell]  1 Ti 1.83
O: 0.6004 0.6098 0.1334 [1 per cell]  3 Ti 1.92-2.09
O: 0.6142 0.4771 0.7660 [1 per cell]  2 Ti 1.91-1.95
O: 0.6316 0.2789 0.0711 [1 per cell]  2 Ti 1.85-1.88
O: 0.6410 0.9280 0.3828 [1 per cell]  2 Ti 1.86-1.87
O: 0.6538 0.7256 0.6849 [1 per cell]  3 Ti 1.94-2.11
O: 0.6721 0.5927 0.3193 [1 per cell]  3 Ti 1.92-2.03
O: 0.6912 0.0828 0.6190 [1 per cell]  1 Ti 1.86
O: 0.7111 0.3827 0.2399 [1 per cell]  3 Ti 1.97-2.03
O: 0.7306 0.6614 0.8754 [1 per cell]  3 Ti 1.94-2.02
O: 0.7531 0.0438 0.1577 [1 per cell]  3 Ti 1.91-2.11
O: 0.7694 0.9072 0.7873 [1 per cell]  3 Ti 1.93-2.09
O: 0.7731 0.3830 0.4497 [1 per cell]  2 Ti 1.81-1.90
O: 0.8302 0.8195 0.0013 [1 per cell]  2 Ti 1.80-1.93
O: 0.8311 0.2945 0.6613 [1 per cell]  3 Ti 1.93-1.98
O: 0.8518 0.1543 0.2947 [1 per cell]  3 Ti 1.94-2.10
O: 0.8800 0.5388 0.5772 [1 per cell]  3 Ti 1.96-1.99
O: 0.8946 0.8212 0.2105 [1 per cell]  3 Ti 1.93-1.99
O: 0.9203 0.1120 0.8312 [1 per cell]  2 Ti 1.87-2.04
O: 0.9276 0.6097 0.1338 [1 per cell]  3 Ti 1.95-2.03
O: 0.9452 0.4769 0.7764 [1 per cell]  2 Ti 1.89-2.01
O: 0.9594 0.2782 0.0691 [1 per cell]  2 Ti 1.87-1.90
O: 0.9781 0.9217 0.3819 [1 per cell]  2 Ti 1.87-1.90
O: 0.9894 0.7221 0.6759 [1 per cell]  2 Ti 1.91-1.99

DOS at the Fermi energy, states/eV per cell: 0.00
Uncorrected formation energy, eV per atom: -2.82
Raw total energy, eV/atom: -8.379
Total moment, μB per formula unit: 0.000

(2)
DFT (PBEsol) results for a geometry-optimized Na6Ti2O7 structure.

Cell: 8.8571 5.2328 10.2827 Å, 90.00 117.20 90.00°
With the nearest neighbours (Å) after each atom.
Space group P2/c (No. 13)
Inequivalent atoms, fractional coordinates:
Na: 0.0661 0.1994 0.1528 [4 per cell]  4 O 2.26-2.36
Na: 0.3354 0.2314 0.6204 [4 per cell]  4 O 2.24-2.37
Na: 0.4286 0.2273 0.3649 [4 per cell]  5 O 2.32-2.58
Ti: 0.2118 0.3036 0.8946 [4 per cell]  4 O 1.79-1.92
O: 0.0000 0.1687 0.7500 [2 per cell]  2 Ti 1.92
O: 0.1908 0.3554 0.3869 [4 per cell]  1 Ti 1.79
O: 0.2737 0.2120 0.0832 [4 per cell]  1 Ti 1.82
O: 0.3883 0.2297 0.8590 [4 per cell]  1 Ti 1.80

DOS at the Fermi energy, states/eV per cell: 0.00
Uncorrected formation energy, eV per atom: -2.22
E above lowest polymorph, meV/atom: 0
Raw total energy, eV/atom: -6.335
Total moment, μB per formula unit: 0.005

(3)
DFT (PBEsol) results for a geometry-optimized Na6Ti2O7 structure.

Cell: 5.9221 8.5439 10.7493 Å, 90.00 123.17 90.00°
With the nearest neighbours (Å) after each atom.
Space group Pc (No. 7)
Inequivalent atoms, fractional coordinates:
Na: 0.0000 0.0629 0.0000 [2 per cell]  3 O 2.26-2.37
Na: 0.1920 0.4362 0.9124 [2 per cell]  3 O 2.26-2.37
Na: 0.3146 0.2134 0.4279 [2 per cell]  5 O 2.31-2.54
Na: 0.5025 0.4163 0.7203 [2 per cell]  3 O 2.28-2.52
Na: 0.6892 0.0842 0.1918 [2 per cell]  3 O 2.28-2.52
Na: 0.8771 0.2872 0.4842 [2 per cell]  5 O 2.31-2.55
Ti: 0.3781 0.0937 0.8154 [2 per cell]  4 O 1.79-1.90
Ti: 0.8140 0.4060 0.0972 [2 per cell]  4 O 1.79-1.90
O: 0.0879 0.0492 0.8206 [2 per cell]  1 Ti 1.79
O: 0.1040 0.4498 0.0917 [2 per cell]  1 Ti 1.79
O: 0.2895 0.1506 0.6324 [2 per cell]  1 Ti 1.80
O: 0.5916 0.0758 0.3729 [2 per cell]  1 Ti 1.79
O: 0.5960 0.2493 0.9570 [2 per cell]  2 Ti 1.90
O: 0.5999 0.4247 0.5389 [2 per cell]  1 Ti 1.79
O: 0.9025 0.3505 0.2804 [2 per cell]  1 Ti 1.80

DOS at the Fermi energy, states/eV per cell: 0.00
Uncorrected formation energy, eV per atom: -2.18
E above lowest polymorph, meV/atom: 36
Raw total energy, eV/atom: -6.299
Total moment, μB per formula unit: 0.003

(4)
DFT (PBEsol) results for a geometry-optimized Na3TiO structure.

Cell: 5.8484 5.8484 5.8484 Å, 90.00 90.00 90.00°
With the nearest neighbours (Å) after each atom.
Space group Pm-3m (No. 221)
Inequivalent atoms, fractional coordinates:
Na: 0.0000 0.0000 0.5000 [3 per cell]  2 Ti 2.92
Ti: 0.0000 0.0000 0.0000 [1 per cell]  6 Na 2.92
O: 0.5000 0.5000 0.5000 [1 per cell]  12 Na 4.14

DOS at the Fermi energy, states/eV per cell: 14.68
Uncorrected formation energy, eV per atom: 1.40
Raw total energy, eV/atom: -2.152
Total moment, μB per formula unit: 3.923

(5)
DFT (PBEsol) results for a geometry-optimized Na3Ti8O16 structure.

Cell: 9.1777 2.9390 10.6835 Å, 90.00 90.10 90.00°
With the nearest neighbours (Å) after each atom.
Space group Pm (No. 6)
Inequivalent atoms, fractional coordinates:
Na: 0.0000 0.0000 0.0000 [1 per cell]  8 O 2.37-2.61
Na: 0.0144 0.5000 0.4982 [1 per cell]  8 O 2.36-2.58
Na: 0.5146 0.5000 0.6913 [1 per cell]  8 O 2.36-2.57
Ti: 0.1760 0.5000 0.2410 [1 per cell]  6 O 1.98-2.01
Ti: 0.1949 0.5000 0.7348 [1 per cell]  6 O 1.94-2.02
Ti: 0.3240 0.0000 0.9601 [1 per cell]  6 O 1.97-2.04
Ti: 0.3405 0.0000 0.4439 [1 per cell]  6 O 1.94-2.02
Ti: 0.6747 0.5000 0.9496 [1 per cell]  6 O 1.95-2.04
Ti: 0.6914 0.5000 0.4534 [1 per cell]  6 O 1.92-2.02
Ti: 0.8134 0.0000 0.2332 [1 per cell]  6 O 1.96-2.04
Ti: 0.8394 0.0000 0.7413 [1 per cell]  6 O 1.98-2.00
O: 0.0506 0.0000 0.6946 [1 per cell]  3 Ti 2.00-2.02
O: 0.1420 0.0000 0.3654 [1 per cell]  3 Ti 2.00-2.01
O: 0.1787 0.5000 0.9159 [1 per cell]  3 Ti 1.94-2.04
O: 0.2268 0.0000 0.1244 [1 per cell]  3 Ti 1.97-1.98
O: 0.2800 0.5000 0.5620 [1 per cell]  3 Ti 2.01-2.02
O: 0.3359 0.0000 0.7737 [1 per cell]  3 Ti 1.99-2.00
O: 0.3677 0.5000 0.3277 [1 per cell]  3 Ti 1.94-1.99
O: 0.4653 0.5000 0.9812 [1 per cell]  3 Ti 1.95-1.97
O: 0.5491 0.0000 0.4966 [1 per cell]  3 Ti 1.99-2.02
O: 0.6460 0.0000 0.8224 [1 per cell]  3 Ti 1.98-2.02
O: 0.6801 0.5000 0.2740 [1 per cell]  3 Ti 1.92-1.96
O: 0.7425 0.0000 0.0593 [1 per cell]  3 Ti 1.97-1.98
O: 0.7805 0.5000 0.6263 [1 per cell]  3 Ti 1.99-2.02
O: 0.8352 0.0000 0.4179 [1 per cell]  3 Ti 1.98-2.01
O: 0.8732 0.5000 0.8643 [1 per cell]  3 Ti 1.99-2.04
O: 0.9621 0.5000 0.1992 [1 per cell]  3 Ti 2.01-2.04

DOS at the Fermi energy, states/eV per cell: 11.26
Uncorrected formation energy, eV per atom: -2.83
E above lowest polymorph, meV/atom: 0
Raw total energy, eV/atom: -8.565
Total moment, μB per formula unit: 3.077